Entry from the Alexandria database: an optimized crystal structure of LiCaIn2 (PBE).

Cell lengths 8.2535, 4.7721, 6.0129 Å; angles 90.00, 117.33, 90.00 degrees
With the nearest neighbours (Å) after each atom.
Space group C2/m (No. 12)
One atom of each set of equivalent atoms:
Li  0.0000  0.0000  0.0000 (multiplicity 2)  6 In 2.85
Ca  0.0000  0.5000  0.5000 (multiplicity 2)  8 In 3.36-3.41
In  0.2132  0.5000  0.1392 (multiplicity 4)  3 Li 2.85, 3 In 3.13

ρ: 4367 kg/m³
density of states at the Fermi level: 4.36 states/eV per cell
final energy: -2.69 eV/atom


Entry from the Alexandria database: an optimized crystal structure of La5AlTl4 (PBE).

Cell lengths 3.8847, 3.8847, 20.3939 Å; angles 90.00, 90.00, 90.00 degrees
With the nearest neighbours (Å) after each atom.
Space group P4/mmm (No. 123)
One atom of each set of equivalent atoms:
La  0.0000  0.0000  0.0000 (multiplicity 1)  8 Tl 3.46
La  0.0000  0.0000  0.2054 (multiplicity 2)  8 Tl 3.44-3.45
La  0.0000  0.0000  0.4095 (multiplicity 2)  4 Al 3.31, 4 Tl 3.45, 1 La 3.69
Al  0.5000  0.5000  0.5000 (multiplicity 1)  8 La 3.31
Tl  0.5000  0.5000  0.1028 (multiplicity 2)  8 La 3.45-3.46
Tl  0.5000  0.5000  0.3069 (multiplicity 2)  8 La 3.44-3.45

ρ: 8304 kg/m³
density of states at the Fermi level: 9.33 states/eV per cell
final energy: -4.19 eV/atom


no.,magnetic moment (μB per formula unit)
1,0.00
2,0.00